# 1
This record from Alexandria describes a geometry-optimized Ac3PmH8 structure. The functional is PBE.

The structure in CIF format:
```
data_Ac3PmH8
_space_group_name_H-M_alt 'P m -3 m'
_space_group_IT_number 221
_space_group_name_Hall '-P 4 2 3'
_cell_length_a 5.767
_cell_length_b 5.767
_cell_length_c 5.767
_cell_angle_alpha 90.00
_cell_angle_beta 90.00
_cell_angle_gamma 90.00
loop_
_atom_site_label
_atom_site_fract_x
_atom_site_fract_y
_atom_site_fract_z
Ac1 0.000 0.000 0.500
Pm1 0.500 0.500 0.500
H1 0.262 0.262 0.262
```



# 2
This record from Alexandria describes a geometry-optimized Ac2PmH structure. The functional is PBE.

The structure in CIF format:
```
data_Ac2PmH
_space_group_name_H-M_alt 'R -3 m'
_space_group_IT_number 166
_space_group_name_Hall '-R 3 2"'
_cell_length_a 3.8066
_cell_length_b 3.8066
_cell_length_c 30.9802
_cell_angle_alpha 90.00
_cell_angle_beta 90.00
_cell_angle_gamma 120.00
loop_
_atom_site_label
_atom_site_fract_x
_atom_site_fract_y
_atom_site_fract_z
Ac1 0.0000 0.0000 0.1164
Pm1 0.0000 0.0000 0.0000
H1 0.0000 0.0000 0.5000
```



# 3
This record from Alexandria describes a geometry-optimized Ac12Pm3H5 structure. The functional is PBE.

The structure in CIF format:
```
data_Ac12Pm3H5
_space_group_name_H-M_alt 'I a -3 d'
_space_group_IT_number 230
_space_group_name_Hall '-I 4bd 2c 3'
_cell_length_a 17.692
_cell_length_b 17.692
_cell_length_c 17.692
_cell_angle_alpha 90.00
_cell_angle_beta 90.00
_cell_angle_gamma 90.00
loop_
_atom_site_label
_atom_site_fract_x
_atom_site_fract_y
_atom_site_fract_z
Ac1 0.043 0.049 0.650
Pm1 0.000 0.250 0.125
H1 0.000 0.000 0.000
H2 0.000 0.250 0.375
```



# 4
This record from Alexandria describes a geometry-optimized AcPm2H8 structure. The functional is PBE.

The structure in CIF format:
```
data_AcPm2H8
_space_group_name_H-M_alt 'I m m m'
_space_group_IT_number 71
_space_group_name_Hall '-I 2 2'
_cell_length_a 3.895
_cell_length_b 5.503
_cell_length_c 11.751
_cell_angle_alpha 90.00
_cell_angle_beta 90.00
_cell_angle_gamma 90.00
loop_
_atom_site_label
_atom_site_fract_x
_atom_site_fract_y
_atom_site_fract_z
Ac1 0.000 0.000 0.000
Pm1 0.000 0.000 0.329
H1 0.000 0.208 0.500
H2 0.000 0.270 0.168
H3 0.000 0.500 0.343
```



# 5
This record from Alexandria describes a geometry-optimized Ac2PmH8 structure. The functional is PBE.

The structure in CIF format:
```
data_Ac2PmH8
_space_group_name_H-M_alt 'I m m m'
_space_group_IT_number 71
_space_group_name_Hall '-I 2 2'
_cell_length_a 4.066
_cell_length_b 5.524
_cell_length_c 12.168
_cell_angle_alpha 90.00
_cell_angle_beta 90.00
_cell_angle_gamma 90.00
loop_
_atom_site_label
_atom_site_fract_x
_atom_site_fract_y
_atom_site_fract_z
Ac1 0.000 0.000 0.169
Pm1 0.000 0.000 0.500
H1 0.000 0.249 0.348
H2 0.000 0.260 0.000
H3 0.000 0.500 0.175
```



# 6
This record from Alexandria describes a geometry-optimized AcPm2H structure. The functional is PBE.

The structure in CIF format:
```
data_AcPm2H
_space_group_name_H-M_alt 'R -3 m'
_space_group_IT_number 166
_space_group_name_Hall '-R 3 2"'
_cell_length_a 3.8137
_cell_length_b 3.8137
_cell_length_c 26.8320
_cell_angle_alpha 90.00
_cell_angle_beta 90.00
_cell_angle_gamma 120.00
loop_
_atom_site_label
_atom_site_fract_x
_atom_site_fract_y
_atom_site_fract_z
Ac1 0.0000 0.0000 0.0000
Pm1 0.0000 0.0000 0.2187
H1 0.0000 0.0000 0.5000
```



Going through the records in order, we get final energy values of -4.26, -4.00, -3.97, -4.25, -4.18, -4.40 eV per atom.